This record from the Alexandria database describes a relaxed PrNbP2 crystal. The functional is PBE-GGA.

```
PrNbP2
1.0
3.7278 0.0012 0.0003
-0.0008 3.7289 -0.0017
-1.8637 -1.8627 6.3625
P Nb Pr
2 1 1
direct
0.5945 0.2544 0.9749 P
0.8479 0.5080 0.4813 P
0.4713 0.6310 0.7282 Nb
0.2215 0.8812 0.2283 Pr
```

Polymorph energy (0 for the lowest one) (meV/atom): 315
DOS(E_F) (states/eV/atom): 1.2904



This record from the Alexandria database describes a relaxed PrNbP2 crystal. The functional is PBE-GGA.

```
PrNbP2
1.0
3.8390 0.0000 0.0000
1.9195 3.3247 0.0000
1.9195 1.1082 6.3979
P Pr Nb
2 1 1
direct
0.7372 0.7372 0.7884 P
0.2628 0.2628 0.2116 P
0.5000 0.5000 0.5000 Pr
0.0000 0.0000 0.0000 Nb
```

Polymorph energy (0 for the lowest one) (meV/atom): 0
DOS(E_F) (states/eV/atom): 0.4474



This record from the Alexandria database describes a relaxed Pr2NbP3Rh12 crystal. The functional is PBE-GGA.

```
Pr2NbP3Rh12
1.0
-2.6922 -1.0082 -6.5365
5.5130 -0.4721 -4.5138
0.8455 -6.9080 -1.5987
Rh P Pr Nb
12 3 2 1
direct
0.3686 0.8548 0.8548 Rh
0.1452 0.1452 0.6314 Rh
0.0893 0.6757 0.6757 Rh
0.8548 0.3686 0.8548 Rh
0.6757 0.0893 0.6757 Rh
0.6757 0.6757 0.0893 Rh
0.3243 0.9107 0.3243 Rh
0.9107 0.3243 0.3243 Rh
0.3243 0.3243 0.9107 Rh
0.8548 0.8548 0.3686 Rh
0.1452 0.6314 0.1452 Rh
0.6314 0.1452 0.1452 Rh
0.0000 0.0000 0.5000 P
0.0000 0.5000 0.0000 P
0.5000 0.0000 0.0000 P
0.3956 0.3956 0.3956 Pr
0.6044 0.6044 0.6044 Pr
0.0000 0.0000 0.0000 Nb
```

DOS(E_F) (states/eV/atom): 0.9038



This record from the Alexandria database describes a relaxed PrNbP2Rh5 crystal. The functional is PBE-GGA.

```
PrNbP2Rh5
1.0
4.0587 0.0000 0.0000
0.0000 4.0587 0.0000
0.0000 0.0000 10.2160
Rh P Nb Pr
5 2 1 1
direct
0.0000 0.5000 0.1718 Rh
0.5000 0.0000 0.1718 Rh
0.0000 0.5000 0.8282 Rh
0.5000 0.0000 0.8282 Rh
0.0000 0.0000 0.5000 Rh
0.0000 0.0000 0.7194 P
0.0000 0.0000 0.2806 P
0.0000 0.0000 0.0000 Nb
0.5000 0.5000 0.5000 Pr
```

DOS(E_F) (states/eV/atom): 0.5251



This record from the Alexandria database describes a relaxed PrNbP2Ru crystal. The functional is PBE-GGA.

```
PrNbP2Ru
1.0
-0.0369 -2.6064 3.1022
1.4922 -2.8931 -2.4129
4.5644 4.3237 1.0407
Pr P Ru Nb
1 2 1 1
direct
0.0000 0.0000 0.0000 Pr
0.6281 0.6281 0.2561 P
0.3719 0.3719 0.7439 P
0.2500 0.7500 0.5000 Ru
0.7500 0.2500 0.5000 Nb
```

DOS(E_F) (states/eV/atom): 0.8118



This record from the Alexandria database describes a relaxed NbP3Pt crystal. The functional is PBE-GGA.

```
NbP3Pt
1.0
-0.9909 4.2884 -1.7784
-3.7370 0.3422 2.9074
2.7547 2.0068 3.3044
P Pt Nb
3 1 1
direct
0.0000 0.0000 0.5000 P
0.5000 0.0000 0.0000 P
0.0000 0.5000 0.0000 P
0.5000 0.5000 0.5000 Pt
0.0000 0.0000 0.0000 Nb
```

Polymorph energy (0 for the lowest one) (meV/atom): 0
DOS(E_F) (states/eV/atom): 0.7756



This record from the Alexandria database describes a relaxed NbPPt2 crystal. The functional is PBE-GGA.

```
NbPPt2
1.0
-4.1635 -0.0124 2.0607
1.0718 -3.9807 2.1415
1.1889 1.7243 7.6488
Nb P Pt
2 2 4
direct
0.7500 0.2500 0.5000 Nb
0.0000 0.0000 0.0000 Nb
0.2500 0.7500 0.5000 P
0.5000 0.5000 0.0000 P
0.3750 0.4415 0.7500 Pt
0.8750 0.8085 0.7500 Pt
0.1915 0.6250 0.2500 Pt
0.5585 0.1250 0.2500 Pt
```

DOS(E_F) (states/eV/atom): 0.4131



This record from the Alexandria database describes a relaxed NbP3Pt crystal. The functional is PBE-GGA.

```
NbP3Pt
1.0
4.6108 0.0000 0.0000
0.0000 4.6108 0.0000
0.0000 0.0000 4.6108
Pt P Nb
1 3 1
direct
0.0000 0.0000 0.0000 Pt
0.0000 0.0000 0.5000 P
0.0000 0.5000 0.0000 P
0.5000 0.0000 0.0000 P
0.5000 0.5000 0.5000 Nb
```

Polymorph energy (0 for the lowest one) (meV/atom): 104
DOS(E_F) (states/eV/atom): 1.1645



This record from the Alexandria database describes a relaxed NbP2PtS crystal. The functional is PBE-GGA.

```
NbP2PtS
1.0
4.5892 0.0000 0.0000
0.0000 4.5892 0.0000
0.0000 0.0000 4.6711
P Pt S Nb
2 1 1 1
direct
0.5000 0.0000 0.0000 P
0.0000 0.5000 0.0000 P
0.0000 0.0000 0.0000 Pt
0.0000 0.0000 0.5000 S
0.5000 0.5000 0.5000 Nb
```

Formation energy from raw total energies (meV per atom): 820
Polymorph energy (0 for the lowest one) (meV/atom): 134
DOS(E_F) (states/eV/atom): 0.8478



This record from the Alexandria database describes a relaxed NbP2PtS crystal. The functional is PBE-GGA.

```
NbP2PtS
1.0
4.8265 0.0000 0.0000
0.0000 4.8265 0.0000
0.0000 0.0000 4.6183
Nb S P Pt
1 1 2 1
direct
0.0000 0.0000 0.0000 Nb
0.0000 0.0000 0.5000 S
0.0000 0.5000 0.0000 P
0.5000 0.0000 0.0000 P
0.5000 0.5000 0.5000 Pt
```

Formation energy from raw total energies (meV per atom): 686
Polymorph energy (0 for the lowest one) (meV/atom): 0
DOS(E_F) (states/eV/atom): 0.8590



This record from the Alexandria database describes a relaxed NbPPt2S crystal. The functional is PBE-GGA.

```
NbPPt2S
1.0
-2.2939 -2.3268 -3.0314
-2.3568 -2.1184 3.4095
-3.0840 3.2151 -0.1341
Pt P S Nb
2 1 1 1
direct
0.0000 0.0000 0.5000 Pt
0.5000 0.0000 0.0000 Pt
0.5000 0.5000 0.5000 P
0.0000 0.0000 0.0000 S
0.0000 0.5000 0.0000 Nb
```

Formation energy from raw total energies (meV per atom): 450
DOS(E_F) (states/eV/atom): 0.5970



This record from the Alexandria database describes a relaxed Sr2NbPPt crystal. The functional is PBE-GGA.

```
Sr2NbPPt
1.0
5.8984 0.0000 0.0000
0.0000 4.3994 0.0000
0.0000 0.0000 5.8984
P Pt Sr Nb
1 1 2 1
direct
0.0000 0.0000 0.0000 P
0.0000 0.5000 0.0000 Pt
0.5000 0.0000 0.0000 Sr
0.0000 0.0000 0.5000 Sr
0.5000 0.5000 0.5000 Nb
```

DOS(E_F) (states/eV/atom): 0.7613



This record from the Alexandria database describes a relaxed NbPPt2W crystal. The functional is PBE-GGA.

```
NbPPt2W
1.0
4.8609 0.0000 0.0000
0.0000 4.5166 0.0000
0.0000 0.0000 4.8609
Pt Nb P W
2 1 1 1
direct
0.0000 0.0000 0.5000 Pt
0.5000 0.0000 0.0000 Pt
0.5000 0.5000 0.5000 Nb
0.0000 0.5000 0.0000 P
0.0000 0.0000 0.0000 W
```

DOS(E_F) (states/eV/atom): 1.0421



This record from the Alexandria database describes a relaxed NbZnPPt2 crystal. The functional is PBE-GGA.

```
NbZnPPt2
1.0
4.9378 0.0000 0.0000
0.0000 4.7110 0.0000
0.0000 0.0000 4.9378
Pt P Zn Nb
2 1 1 1
direct
0.5000 0.0000 0.0000 Pt
0.0000 0.0000 0.5000 Pt
0.0000 0.5000 0.0000 P
0.5000 0.5000 0.5000 Zn
0.0000 0.0000 0.0000 Nb
```

DOS(E_F) (states/eV/atom): 0.9821



This record from the Alexandria database describes a relaxed Pu3NbP4 crystal. The functional is PBE-GGA.

```
Pu3NbP4
1.0
6.7258 0.0572 0.0000
-2.3025 6.2694 0.0000
0.0000 0.0000 7.7289
Pu Nb P
6 2 8
direct
0.7500 0.5000 0.6289 Pu
0.7500 0.5000 0.1226 Pu
0.2500 0.0000 0.6283 Pu
0.2500 0.5000 0.8774 Pu
0.2500 0.5000 0.3711 Pu
0.7500 0.0000 0.3717 Pu
0.7500 0.0000 0.8750 Nb
0.2500 0.0000 0.1250 Nb
0.0000 0.7656 0.8852 P
0.4907 0.2408 0.3654 P
0.5000 0.7656 0.1148 P
0.5000 0.2344 0.8852 P
0.9907 0.2408 0.6346 P
0.0000 0.2344 0.1148 P
0.5093 0.7592 0.6346 P
0.0093 0.7592 0.3654 P
```

DOS(E_F) (states/eV/atom): 3.3103



This record from the Alexandria database describes a relaxed PuNbP2 crystal. The functional is PBE-GGA.

```
PuNbP2
1.0
3.6443 0.0000 0.0000
1.8222 3.1561 0.0000
1.8222 1.0520 6.6596
Pu P Nb
1 2 1
direct
0.6716 0.6716 0.9853 Pu
0.2399 0.2399 0.2804 P
0.0923 0.0923 0.7230 P
0.4962 0.4962 0.5113 Nb
```

Polymorph energy (0 for the lowest one) (meV/atom): 63
DOS(E_F) (states/eV/atom): 2.2320



This record from the Alexandria database describes a relaxed PuNbP2 crystal. The functional is PBE-GGA.

```
PuNbP2
1.0
-0.3939 -3.5839 -1.0341
2.1857 -1.4256 -2.6943
4.7367 -3.3503 3.0044
Pu Nb P
1 1 2
direct
0.5000 0.5000 0.5000 Pu
0.0000 0.0000 0.0000 Nb
0.2570 0.2570 0.2291 P
0.7430 0.7430 0.7709 P
```

Polymorph energy (0 for the lowest one) (meV/atom): 0
DOS(E_F) (states/eV/atom): 2.5776



This record from the Alexandria database describes a relaxed RbNbP2S crystal. The functional is PBE-GGA.

```
RbNbP2S
1.0
-2.3550 2.9513 3.4576
2.5804 -2.3380 3.7532
3.8296 3.5498 -0.4217
Rb P Nb S
1 2 1 1
direct
0.0000 0.0000 0.0000 Rb
0.0000 0.5000 0.0000 P
0.5000 0.0000 0.0000 P
0.5000 0.5000 0.5000 Nb
0.0000 0.0000 0.5000 S
```

Formation energy from raw total energies (meV per atom): 2159
Polymorph energy (0 for the lowest one) (meV/atom): 2446
DOS(E_F) (states/eV/atom): 1.2333



This record from the Alexandria database describes a relaxed RbNbPS2 crystal. The functional is PBE-GGA.

```
RbNbPS2
1.0
-3.4088 3.4346 0.9029
-3.4500 -2.9059 -1.9710
-0.8456 -2.0057 4.4371
S P Nb Rb
2 1 1 1
direct
0.0000 0.5000 0.0000 S
0.5000 0.0000 0.0000 S
0.0000 0.0000 0.5000 P
0.0000 0.0000 0.0000 Nb
0.5000 0.5000 0.5000 Rb
```

Formation energy from raw total energies (meV per atom): -590
Polymorph energy (0 for the lowest one) (meV/atom): 0
DOS(E_F) (states/eV/atom): 0.3202



This record from the Alexandria database describes a relaxed RbNbP2S crystal. The functional is PBE-GGA.

```
RbNbP2S
1.0
-4.1016 -0.0126 2.7499
1.2296 -4.4255 1.8137
2.4681 2.1985 3.6913
S Nb Rb P
1 1 1 2
direct
0.0000 0.0000 0.5000 S
0.0000 0.0000 0.0000 Nb
0.5000 0.5000 0.5000 Rb
0.0000 0.5000 0.0000 P
0.5000 0.0000 0.0000 P
```

Formation energy from raw total energies (meV per atom): -287
Polymorph energy (0 for the lowest one) (meV/atom): 0
DOS(E_F) (states/eV/atom): 0.7447



no.,energy (Ha/atom)
1,-0.263
2,-0.274
3,-0.262
4,-0.270
5,-0.288
6,-0.209
7,-0.258
8,-0.205
9,-0.198
10,-0.203
11,-0.216
12,-0.175
13,-0.263
14,-0.182
15,-0.382
16,-0.359
17,-0.361
18,-0.112
19,-0.203
20,-0.202